! LiVOF3 (PBE with a Hubbard U, optimized geometry); values from VASP
&SYSTEM
  ibrav = 0, nat = 24, ntyp = 4
/
ATOMIC_SPECIES
Li 6.94 Li.upf
V 50.94 V.upf
O 16.00 O.upf
F 19.00 F.upf
ATOMIC_POSITIONS angstrom
Li 0.0792 1.0356 3.3826
Li -0.9242 1.5419 6.9122
Li 6.7927 3.6131 0.1470
Li 5.7893 4.1194 3.6766
V 1.2695 3.6957 5.1640
V 2.2729 4.0367 1.6344
V 3.5955 1.1182 5.4248
V 4.5989 1.4592 1.8952
O 2.2522 0.2226 4.8368
O 3.2556 2.3549 1.3072
O 2.6129 2.8000 5.7520
O 3.6163 4.9324 2.2224
F 0.7364 3.2027 0.8036
F -0.2670 4.5298 4.3332
F 1.0514 0.4189 1.7296
F 0.0480 2.1586 5.2592
F 1.6089 3.1496 3.2768
F 0.6055 4.5829 6.8064
F 5.2629 0.5721 0.2528
F 4.2596 2.0054 3.7824
F 5.8205 2.9963 1.8000
F 4.8171 4.7361 5.3296
F 6.1355 0.6252 2.7260
F 5.1321 1.9523 6.2556
CELL_PARAMETERS angstrom
7.8752 0.0000 0.0000
0.0000 5.1550 0.0000
-2.0068 0.0000 7.0592
! uncorrected energy: -5.9376 eV/atom
! M_tot: 4.00 μB per cell
! calculated density: 3.0 g cm⁻³
! relative energy among the computed polymorphs: 31 meV per atom
! SG: P2_1/c, No. 14